Below is a relaxed ScInS3 crystal, with properties calculated at the PBE level.

a b c (Å): 3.8940 6.3811 10.3267
angles (deg): 90.00 100.87 90.00
Sites, in units of the cell vectors:
Sc: 0.3261 0.5099 0.6521
Sc: 0.6739 0.0099 0.3479
In: 0.8809 0.9489 0.7617
In: 0.1191 0.4489 0.2383
S: 0.8849 0.3292 0.7697
S: 0.1151 0.8292 0.2303
S: 0.5708 0.2645 0.1415
S: 0.4292 0.7645 0.8585
S: 0.7721 0.7417 0.5443
S: 0.2279 0.2417 0.4557

Output
The total energy comes out at -5.488 eV/atom. As for the formation energy (no corrections): -5.99 eV/f.u. Its crystal system is orthorhombic. The offset from the most stable computed form comes out at 0.0000 eV per atom. The space-group type is No. 36.



Below is a relaxed DyHo4Th crystal, with properties calculated at the PBE level.

a b c (Å): 3.5518 9.3154 15.2991
angles (deg): 155.39 90.07 100.93
Sites, in units of the cell vectors:
Dy: 0.5000 0.0000 0.5000
Ho: 0.8281 0.6556 0.4912
Ho: 0.1719 0.3444 0.5088
Ho: 0.3369 0.6731 0.0021
Ho: 0.6631 0.3269 0.9978
Th: 0.0000 0.0000 0.0000

Output
The total energy comes out at -5.039 eV/atom. As for the calculated formation energy: 0.016 eV per atom. Its crystal system is triclinic. The offset from the most stable computed form comes out at 0.0000 eV per atom. The space-group type is No. 2.